Material: TcPdPt2
Method: DFT, PBE
State: optimized geometry

Unit cell a=2.762 b=2.762 c=7.960 alpha=90.00 beta=90.00 gamma=90.00
Element x y z (fractional)
Tc: 0.500 0.500 0.500
Pd: 0.500 0.500 0.000
Pt: 0.000 0.000 0.262
Pt: 0.000 0.000 0.738

Calculated values
- DFT formation energy: -177 meV/atom
- Energy above the most stable polymorph in this dataset: 0.00 eV per formula unit


Material: Dy3CuHg
Method: DFT, PBE
State: optimized geometry

Unit cell a=4.853 b=7.937 c=7.937 alpha=120.00 beta=90.00 gamma=90.00
Element x y z (fractional)
Dy: 0.250 0.378 0.189
Dy: 0.750 0.622 0.811
Dy: 0.250 0.811 0.622
Dy: 0.750 0.189 0.378
Dy: 0.750 0.189 0.811
Dy: 0.250 0.811 0.189
Hg: 0.750 0.666 0.334
Hg: 0.250 0.334 0.666
Cu: 0.500 0.000 0.000
Cu: 0.000 0.000 0.000

Calculated values
- DFT formation energy: -140 meV/atom


Material: TbNd2Ho9
Method: DFT, PBE
State: optimized geometry

Unit cell a=3.493 b=11.241 c=11.241 alpha=120.00 beta=90.00 gamma=90.00
Element x y z (fractional)
Ho: 0.000 0.500 0.500
Ho: 0.000 0.000 0.500
Ho: 0.500 0.174 0.826
Ho: 0.500 0.826 0.174
Ho: 0.500 0.652 0.826
Ho: 0.500 0.826 0.652
Ho: 0.000 0.500 0.000
Ho: 0.500 0.348 0.174
Ho: 0.500 0.174 0.348
Nd: 0.000 0.667 0.333
Nd: 0.000 0.333 0.667
Tb: 0.000 0.000 0.000

Calculated values
- DFT formation energy: 68 meV/atom
- Energy above the most stable polymorph in this dataset: 0.55 eV per formula unit


Material: HIrSe3
Method: DFT, PBE
State: optimized geometry

Unit cell a=4.770 b=6.291 c=7.179 alpha=73.24 beta=79.28 gamma=72.89
Element x y z (fractional)
Se: 0.857 0.289 0.806
Se: 0.960 0.715 0.172
Se: 0.570 0.843 0.941
Se: 0.342 0.007 0.412
Se: 0.662 0.278 0.277
Se: 0.149 0.609 0.678
Ir: 0.398 0.493 0.984
Ir: 0.124 0.075 0.101
H: 0.373 0.447 0.570
H: 0.358 0.239 0.977

Calculated values
- Energy above the most stable polymorph in this dataset: 0.10 eV per formula unit


Material: BaCa2Br
Method: DFT, PBE
State: optimized geometry

Unit cell a=4.911 b=4.911 c=7.449 alpha=90.00 beta=90.00 gamma=90.00
Element x y z (fractional)
Ca: 0.000 0.000 0.000
Ca: 0.500 0.500 0.000
Br: 0.000 0.500 0.500
Ba: 0.500 0.000 0.500


Material: RbTeI
Method: DFT, PBE
State: optimized geometry

Unit cell a=4.788 b=5.486 c=13.845 alpha=66.13 beta=69.91 gamma=89.99
Element x y z (fractional)
Rb: 0.500 0.162 0.255
Rb: 0.691 0.347 0.567
Te: 0.808 0.823 0.949
Te: 0.383 0.686 0.874
I: 0.185 0.840 0.573
I: 0.005 0.669 0.250

Calculated values
- Energy above the most stable polymorph in this dataset: 0.00 eV per formula unit


Material: LiLa2Tb
Method: DFT, PBE
State: optimized geometry

Unit cell a=5.679 b=5.679 c=5.679 alpha=60.00 beta=60.00 gamma=60.00
Element x y z (fractional)
La: 0.250 0.250 0.250
La: 0.750 0.750 0.750
Tb: 0.000 0.000 0.000
Li: 0.500 0.500 0.500

Calculated values
- DFT formation energy: 144 meV/atom
- Energy above the most stable polymorph in this dataset: 0.32 eV per formula unit


Material: Pm4CdAg2Ir
Method: DFT, PBE
State: optimized geometry

Unit cell a=5.247 b=5.247 c=9.011 alpha=73.08 beta=73.08 gamma=60.00
Element x y z (fractional)
Pm: 0.867 0.867 0.399
Pm: 0.133 0.133 0.601
Pm: 0.386 0.386 0.842
Pm: 0.614 0.614 0.158
Cd: 0.000 0.000 0.000
Ag: 0.739 0.739 0.784
Ag: 0.261 0.261 0.216
Ir: 0.500 0.500 0.500

Calculated values
- DFT formation energy: -422 meV/atom


Material: Cu2AgRhN
Method: DFT, PBE
State: optimized geometry

Unit cell a=3.993 b=3.993 c=4.006 alpha=90.00 beta=90.00 gamma=90.00
Element x y z (fractional)
N: 0.000 0.000 0.000
Rh: 0.000 0.000 0.500
Cu: 0.500 0.000 0.000
Cu: 0.000 0.500 0.000
Ag: 0.500 0.500 0.500


Material: Ta2TiMo
Method: DFT, PBE
State: optimized geometry

Unit cell a=6.047 b=6.047 c=6.047 alpha=55.67 beta=153.00 gamma=132.30
Element x y z (fractional)
Ti: 0.000 0.000 0.000
Ta: 0.000 0.747 0.747
Ta: 0.000 0.253 0.253
Mo: 0.000 0.500 0.500

Calculated values
- DFT formation energy: 618 meV/atom


Material: Sr2Cu4Sb3Pb
Method: DFT, PBE
State: optimized geometry

Unit cell a=4.593 b=4.593 c=11.064 alpha=90.00 beta=90.00 gamma=90.00
Element x y z (fractional)
Sb: 0.000 0.500 0.126
Sb: 0.000 0.000 0.500
Sb: 0.500 0.000 0.874
Sr: 0.500 0.000 0.233
Sr: 0.000 0.500 0.767
Cu: 0.000 0.000 0.000
Cu: 0.500 0.500 0.000
Cu: 0.500 0.000 0.642
Cu: 0.000 0.500 0.358
Pb: 0.500 0.500 0.500


Material: ThCd5Hg4
Method: DFT, PBE
State: optimized geometry

Unit cell a=5.047 b=6.794 c=7.757 alpha=102.91 beta=108.99 gamma=90.00
Element x y z (fractional)
Hg: 0.292 0.679 0.583
Hg: 0.708 0.321 0.417
Hg: 0.098 0.832 0.196
Hg: 0.902 0.168 0.804
Th: 0.500 0.000 0.000
Cd: 0.893 0.654 0.787
Cd: 0.294 0.172 0.589
Cd: 0.706 0.828 0.411
Cd: 0.107 0.346 0.213
Cd: 0.500 0.500 0.000

Calculated values
- DFT formation energy: -68 meV/atom


Material: RbSmPt4
Method: DFT, PBE
State: optimized geometry

Unit cell a=5.545 b=5.545 c=5.545 alpha=60.00 beta=60.00 gamma=60.00
Element x y z (fractional)
Pt: 0.625 0.126 0.625
Pt: 0.126 0.625 0.625
Pt: 0.625 0.625 0.126
Pt: 0.625 0.625 0.625
Rb: 0.000 0.000 0.000
Sm: 0.250 0.250 0.250

Calculated values
- DFT formation energy: -566 meV/atom


Material: KCdHgSb2
Method: DFT, PBE
State: optimized geometry

Unit cell a=5.026 b=5.026 c=7.261 alpha=110.25 beta=110.25 gamma=90.00
Element x y z (fractional)
Hg: 0.750 0.250 0.500
Cd: 0.250 0.750 0.500
K: 0.000 0.000 0.000
Sb: 0.379 0.379 0.758
Sb: 0.621 0.621 0.242


Material: CaAlIr2
Method: DFT, PBE
State: optimized geometry

Unit cell a=4.674 b=4.674 c=5.517 alpha=76.64 beta=76.64 gamma=37.48
Element x y z (fractional)
Al: 0.750 0.750 0.750
Ir: 0.481 0.481 0.563
Ir: 0.019 0.019 0.937
Ca: 0.250 0.250 0.250

Calculated values
- DFT formation energy: -275 meV/atom


Material: DyY2Tm6Sc
Method: DFT, PBE
State: optimized geometry

Unit cell a=8.596 b=9.016 c=9.016 alpha=119.02 beta=90.98 gamma=90.98
Element x y z (fractional)
Y: 0.056 0.316 0.211
Y: 0.444 0.789 0.684
Y: 0.944 0.684 0.789
Y: 0.556 0.211 0.316
Tm: 0.445 0.210 0.876
Tm: 0.055 0.124 0.790
Tm: 0.089 0.733 0.466
Tm: 0.296 0.044 0.461
Tm: 0.704 0.956 0.539
Tm: 0.911 0.267 0.534
Tm: 0.555 0.790 0.124
Tm: 0.945 0.876 0.210
Tm: 0.796 0.461 0.044
Tm: 0.411 0.534 0.267
Tm: 0.204 0.539 0.956
Tm: 0.589 0.466 0.733
Sc: 0.750 0.558 0.442
Sc: 0.250 0.442 0.558
Dy: 0.250 0.963 0.037
Dy: 0.750 0.037 0.963

Calculated values
- DFT formation energy: 129 meV/atom


Material: PaNi2Pd2
Method: DFT, PBE
State: optimized geometry

Unit cell a=3.906 b=5.009 c=14.832 alpha=39.79 beta=58.07 gamma=66.94
Element x y z (fractional)
Pd: 0.000 0.000 0.000
Pd: 0.000 0.000 0.500
Pd: 0.203 0.805 0.196
Pd: 0.797 0.195 0.804
Pa: 0.826 0.191 0.290
Pa: 0.174 0.809 0.710
Ni: 0.607 0.401 0.096
Ni: 0.393 0.599 0.904
Ni: 0.392 0.599 0.404
Ni: 0.608 0.401 0.596

Calculated values
- DFT formation energy: -454 meV/atom


Material: Nd14PuTh
Method: DFT, PBE
State: optimized geometry

Unit cell a=7.126 b=7.126 c=11.449 alpha=90.00 beta=90.00 gamma=107.72
Site moments in Bohr magnetons follow the coordinates.
Element x y z (fractional)
Nd: 0.686 0.893 0.240  0.04
Nd: 0.179 0.821 0.248  -0.02
Nd: 0.889 0.689 0.500  -0.01
Nd: 0.382 0.618 0.500  -0.02
Nd: 0.325 0.110 0.000  0.06
Nd: 0.612 0.388 0.245  0.01
Nd: 0.179 0.821 0.752  -0.02
Nd: 0.890 0.675 0.000  0.06
Nd: 0.612 0.388 0.755  0.01
Nd: 0.107 0.314 0.240  0.04
Nd: 0.311 0.111 0.500  -0.01
Nd: 0.686 0.893 0.760  0.04
Nd: 0.107 0.314 0.760  0.04
Nd: 0.821 0.179 0.500  -0.05
Th: 0.388 0.612 0.000  -0.01
Pu: 0.826 0.174 0.000  5.65

Calculated values
- DFT formation energy: 96 meV/atom


Material: SiNi3Pd
Method: DFT, PBE
State: optimized geometry

Unit cell a=4.170 b=4.170 c=4.170 alpha=90.00 beta=90.00 gamma=90.00
Element x y z (fractional)
Ni: 0.000 0.000 0.500
Ni: 0.000 0.500 0.000
Ni: 0.500 0.000 0.000
Si: 0.000 0.000 0.000
Pd: 0.500 0.500 0.500

Calculated values
- Energy above the most stable polymorph in this dataset: 0.00 eV per formula unit


Material: PuScFeRu
Method: DFT, PBE
State: optimized geometry

Unit cell a=4.623 b=4.623 c=4.623 alpha=60.00 beta=60.00 gamma=60.00
Site moments in Bohr magnetons follow the coordinates.
Element x y z (fractional)
Sc: 0.250 0.250 0.250  0.15
Pu: 0.750 0.750 0.750  4.94
Fe: 0.500 0.500 0.500  -2.00
Ru: 0.000 0.000 0.000  -0.43

Calculated values
- DFT formation energy: -211 meV/atom


no.,N(E_F) (states/eV/f.u.),total DFT energy (no corrections) (eV/atom)
1,3.17,-7.087
2,5.58,-3.781
3,19.43,-4.545
4,0.38,-4.649
5,4.25,-2.355
6,0.67,-2.747
7,4.60,-3.956
8,5.50,-4.732
9,3.63,-5.126
10,4.49,-9.990
11,2.62,-3.985
12,5.26,-1.388
13,3.23,-5.541
14,2.85,-2.284
15,1.84,-6.141
16,12.79,-4.940
17,2.11,-6.743
18,29.23,-5.435
19,4.38,-5.193
20,6.33,-9.812